The following is a DFT calculation (PBEsol) of an optimized crystal structure of Cu2ReBr.

```
data_Cu2ReBr
_chemical_formula_sum 'Cu4 Re2 Br2'
_space_group_name_H-M_alt 'C 1 2/m 1'
_space_group_IT_number 12
_space_group_name_Hall '-C 2y'
_cell_length_a 10.0017
_cell_length_b 2.8522
_cell_length_c 4.4924
_cell_angle_alpha 90.00
_cell_angle_beta 116.29
_cell_angle_gamma 90.00
loop_
_atom_site_label
_atom_site_type_symbol
_atom_site_fract_x
_atom_site_fract_y
_atom_site_fract_z
Cu1 Cu 0.2489 0.0000 0.2479
Re1 Re 0.0000 0.5000 0.0000
Br1 Br 0.0000 0.0000 0.5000
```

Formation energy from raw total energies = 949.3 meV/atom
Distance to the lowest polymorph of the same formula = 0.0 kJ per mole of atoms
Total energy = -5.018 eV per atom
Density of states at the Fermi level = 0.80 states/eV/atom
ρ = 11.366 g/cm³